(1)
Material: Ce2DyAu3
Method: DFT, GGA-PBE
State: relaxed

formation enthalpy at 0 K: -0.683 eV per atom
space-group type: P4/mmm, No. 123
raw total energy: -30.40 eV for the cell shown

Unit cell a=3.6063 b=3.6063 c=11.3160 alpha=90.00 beta=90.00 gamma=90.00
Atoms (fractional coordinates):
Ce 0.5000 0.5000 0.8303
Ce 0.5000 0.5000 0.1697
Dy 0.5000 0.5000 0.5000
Au 0.0000 0.0000 0.0000
Au 0.0000 0.0000 0.6525
Au 0.0000 0.0000 0.3475

(2)
Material: CeDyAu4
Method: DFT, GGA-PBE
State: relaxed

formation enthalpy at 0 K: -0.755 eV per atom
space-group type: P4/mmm, No. 123
raw total energy: -28.18 eV for the cell shown

Unit cell a=3.7864 b=3.7864 c=9.2534 alpha=89.99 beta=89.99 gamma=90.00
Atoms (fractional coordinates):
Ce 0.5000 0.5000 0.5000
Dy 0.0000 0.0000 0.0000
Au 0.5001 0.5001 0.1606
Au 0.4999 0.4999 0.8394
Au 0.9999 0.9998 0.6727
Au 0.0001 0.0002 0.3273

(3)
Material: Ce5DyAu6
Method: DFT, GGA-PBE
State: relaxed

formation enthalpy at 0 K: -0.641 eV per atom
space-group type: C2/m, No. 12
raw total energy: -61.63 eV for the cell shown

Unit cell a=5.1484 b=7.4900 c=8.9389 alpha=65.23 beta=73.20 gamma=90.00
Atoms (fractional coordinates):
Au 0.8389 0.6069 0.3232
Au 0.8389 0.0699 0.3232
Au 0.5000 0.7829 0.0000
Au 0.5000 0.2171 0.0000
Au 0.1611 0.9301 0.6768
Au 0.1611 0.3931 0.6768
Ce 0.6794 0.1797 0.6405
Ce 0.3453 0.3450 0.3100
Ce 0.0000 0.5000 0.0000
Ce 0.6547 0.6550 0.6900
Ce 0.3206 0.8203 0.3595
Dy 0.0000 0.0000 0.0000

(4)
Material: CeDy3Au4
Method: DFT, GGA-PBE
State: relaxed

formation enthalpy at 0 K: -0.782 eV per atom
space-group type: R-3m, No. 166
raw total energy: -39.11 eV for the cell shown

Unit cell a=5.1081 b=5.1081 c=8.9630 alpha=73.44 beta=73.44 gamma=60.00
Atoms (fractional coordinates):
Au 0.8725 0.8725 0.3826
Au 0.3796 0.3796 0.8612
Au 0.1275 0.1275 0.6174
Au 0.6204 0.6204 0.1388
Ce 0.0000 0.0000 0.0000
Dy 0.2496 0.2496 0.2511
Dy 0.7504 0.7504 0.7489
Dy 0.5000 0.5000 0.5000

D(E_F) (computed, states/eV/f.u.): 14.7 7.2 33.3 10.7
Spin magnetization (computed, μB/f.u.): 2.25 0.68 5.31 1.01